1.
First-principles (GGA-PBE) data for an optimized crystal structure of LaNdSnGe, as listed in Alexandria via LeMat-Bulk.

```
LaNdSnGe
1.0
-0.6350 2.3845 -3.9783
2.9065 -2.4295 -1.9201
-3.8308 -4.9149 0.4200
La Nd Sn Ge
1 1 1 1
direct
0.8647 0.5000 0.7293 La
0.1405 0.0000 0.2809 Nd
0.5819 0.5000 0.1637 Sn
0.4130 0.0000 0.8260 Ge
```

Values from the calculation:
- crystal system = orthorhombic
- energy (eV/atom) = -5.3794
- density (g cm⁻³) = 6.84

2.
First-principles (GGA-PBE) data for an optimized crystal structure of LaMo, as listed in Alexandria via LeMat-Bulk.

```
LaMo
1.0
1.7451 -7.7896 0.0000
1.7451 7.7896 0.0000
0.0000 0.0000 5.2740
La Mo
3 3
direct
0.0095 0.9905 0.0000 La
0.3010 0.6990 0.0000 La
0.4674 0.5326 0.5000 La
0.6506 0.3494 0.0000 Mo
0.7585 0.2415 0.5000 Mo
0.1464 0.8536 0.5000 Mo
```

Values from the calculation:
- crystal system = orthorhombic
- energy above the lowest structure with this stoichiometry (eV per atom) = 0.240
- density (g cm⁻³) = 8.16

3.
First-principles (GGA-PBE) data for an optimized crystal structure of LiHf3Ti, as listed in Alexandria via LeMat-Bulk.

```
LiHf3Ti
1.0
4.9858 0.0000 0.0000
0.0000 4.9858 0.0000
0.0000 0.0000 4.9858
Li Hf Ti
1 3 1
direct
0.5000 0.5000 0.5000 Li
0.0000 0.5000 0.0000 Hf
0.0000 0.0000 0.5000 Hf
0.5000 0.0000 0.0000 Hf
0.0000 0.0000 0.0000 Ti
```

Values from the calculation:
- crystal system = cubic
- energy above the lowest structure with this stoichiometry (eV per atom) = 0.046
- density (g cm⁻³) = 7.91

4.
First-principles (GGA-PBE) data for an optimized crystal structure of Tb3Pm2PuAs6, as listed in Alexandria via LeMat-Bulk.

```
Tb3Pm2PuAs6
1.0
-0.2033 3.9785 1.2513
-7.8295 0.4907 -2.8325
-0.9629 -4.7441 7.9602
Tb Pm Pu As
3 2 1 6
direct
0.5000 0.5000 0.0000 Tb
0.8324 0.1668 0.6648 Tb
0.1676 0.8332 0.3352 Tb
0.8332 0.6657 0.6665 Pm
0.1668 0.3343 0.3335 Pm
0.5000 0.0000 0.0000 Pu
0.3343 0.9214 0.6686 As
0.6653 0.5872 0.3306 As
0.6657 0.0786 0.3314 As
0.9983 0.2465 0.9967 As
0.0017 0.7535 0.0033 As
0.3347 0.4128 0.6694 As
```

Values from the calculation:
- crystal system = monoclinic
- energy (eV/atom) = -6.9082
- density (g cm⁻³) = 7.88

5.
First-principles (GGA-PBE) data for an optimized crystal structure of PmZn9Cu2, as listed in Alexandria via LeMat-Bulk.

```
PmZn9Cu2
1.0
3.0515 0.0000 0.0000
0.0000 8.5325 0.0000
0.0000 -4.2663 7.3894
Pm Zn Cu
1 9 2
direct
0.0000 0.0000 0.0000 Pm
0.5000 0.8108 0.1892 Zn
0.0000 0.0000 0.5000 Zn
0.0000 0.5000 0.5000 Zn
0.5000 0.8108 0.6216 Zn
0.5000 0.1892 0.8108 Zn
0.5000 0.6216 0.8108 Zn
0.5000 0.1892 0.3784 Zn
0.0000 0.5000 0.0000 Zn
0.5000 0.3784 0.1892 Zn
0.0000 0.6667 0.3333 Cu
0.0000 0.3333 0.6667 Cu
```

Values from the calculation:
- crystal system = hexagonal
- energy above the lowest structure with this stoichiometry (eV per atom) = 0.131
- density (g cm⁻³) = 7.43

6.
First-principles (GGA-PBE) data for an optimized crystal structure of DyEr3Th2As6, as listed in Alexandria via LeMat-Bulk.

```
DyEr3Th2As6
1.0
4.1595 0.0000 0.0000
0.0000 8.2739 0.3098
-2.0797 -2.3697 8.7165
Dy Er Th As
1 3 2 6
direct
0.5000 0.0000 0.0000 Dy
0.5000 0.5000 0.0000 Er
0.8338 0.1660 0.6676 Er
0.1662 0.8340 0.3324 Er
0.8352 0.6700 0.6703 Th
0.1648 0.3300 0.3297 Th
0.3331 0.9242 0.6661 As
0.6647 0.5888 0.3293 As
0.6669 0.0758 0.3339 As
0.9974 0.2503 0.9948 As
0.0026 0.7497 0.0052 As
0.3353 0.4112 0.6707 As
```

Values from the calculation:
- crystal system = monoclinic
- energy (eV/atom) = -6.5706
- density (g cm⁻³) = 8.65